# Ho2S

A relaxed Ho2S crystal (GGA-PBE, Alexandria via LeMat-Bulk).

a b c (Å): 13.106 3.789 6.205
angles (deg): 90.00 90.00 90.00
Space group Pnma (No. 62)
One atom of each set of equivalent atoms:
Ho (0.041, 0.250, 0.236) [4 per cell]
Ho (0.207, 0.250, 0.753) [4 per cell]
S (0.123, 0.750, 0.496) [4 per cell]

Calculated values
The calculation puts the density of states at the Fermi level at 0.810 states/eV/atom. The formation energy from raw total energies is -3.8 eV per formula unit. The calculation puts the electronic total energy at -17.04 eV/f.u.